1.
Li2CeSi2 (GGA-PBE, relaxed); total energy = -45.7 eV for the cell shown; uncorrected formation energy = -0.448 eV/atom
1.0
4.109 0.000 0.000
0.000 4.109 0.000
0.000 0.000 11.029
Li Ce Si
4 2 4
direct
0.000 0.500 0.250 Li
0.000 0.500 0.750 Li
0.500 0.000 0.250 Li
0.500 0.000 0.750 Li
0.000 0.000 0.000 Ce
0.500 0.500 0.500 Ce
0.000 0.000 0.394 Si
0.000 0.000 0.606 Si
0.500 0.500 0.106 Si
0.500 0.500 0.894 Si

2.
NaInIO6 (GGA-PBE, relaxed); total energy = -84.4 eV for the cell shown; uncorrected formation energy = -0.763 eV/atom
1.0
4.961 0.000 0.000
0.000 4.961 0.000
0.000 0.000 9.704
Na In I O
2 2 2 12
direct
0.000 0.000 0.000 Na
0.500 0.500 0.500 Na
0.000 0.000 0.669 In
0.500 0.500 0.169 In
0.000 0.000 0.335 I
0.500 0.500 0.835 I
0.179 0.179 0.481 O
0.189 0.189 0.195 O
0.229 0.229 0.827 O
0.271 0.729 0.327 O
0.311 0.689 0.695 O
0.321 0.679 0.981 O
0.679 0.321 0.981 O
0.689 0.311 0.695 O
0.729 0.271 0.327 O
0.771 0.771 0.827 O
0.811 0.811 0.195 O
0.821 0.821 0.481 O

3.
KSbIr2 (GGA-PBE, relaxed); total energy = -44.1 eV for the cell shown; uncorrected formation energy = 0.218 eV/atom
1.0
10.133 0.000 0.000
0.000 2.996 0.000
-2.639 0.000 6.569
K Sb Ir
2 2 4
direct
0.000 0.000 0.000 K
0.500 0.500 0.000 K
0.327 0.500 0.353 Sb
0.827 0.000 0.353 Sb
0.038 0.500 0.595 Ir
0.246 0.000 0.598 Ir
0.538 0.000 0.595 Ir
0.746 0.500 0.598 Ir

4.
Pm8Al2Hg (GGA-PBE, relaxed); formation enthalpy at 0 K = -151.8 meV/atom; total energy = -47.5 eV for the cell shown
1.0
-2.558 4.309 7.420
2.558 -4.309 7.420
2.558 4.309 -7.420
Pm Al Hg
8 2 1
direct
0.121 0.339 0.781 Pm
0.142 0.142 0.000 Pm
0.319 0.000 0.319 Pm
0.442 0.661 0.781 Pm
0.558 0.339 0.219 Pm
0.681 0.000 0.681 Pm
0.858 0.858 0.000 Pm
0.879 0.661 0.219 Pm
0.306 0.806 0.500 Al
0.694 0.194 0.500 Al
0.000 0.500 0.500 Hg

5.
LaMg2SiRh (GGA-PBE, relaxed); total energy = -23.0 eV for the cell shown; uncorrected formation energy = -0.423 eV/atom
1.0
4.900 0.000 0.000
0.000 4.900 0.000
0.000 0.000 4.641
La Mg Si Rh
1 2 1 1
direct
0.000 0.000 0.000 La
0.000 0.500 0.500 Mg
0.500 0.000 0.500 Mg
0.500 0.500 0.000 Si
0.500 0.500 0.500 Rh

6.
CaHf2Al2 (GGA-PBE, relaxed); formation enthalpy at 0 K = -119.0 meV/atom; total energy = -60.0 eV for the cell shown
1.0
8.503 0.000 0.000
0.000 8.503 0.000
0.000 0.000 3.045
Ca Hf Al
2 4 4
direct
0.000 0.000 0.000 Ca
0.500 0.500 0.000 Ca
0.124 0.376 0.000 Hf
0.376 0.876 0.000 Hf
0.624 0.124 0.000 Hf
0.876 0.624 0.000 Hf
0.170 0.670 0.500 Al
0.330 0.170 0.500 Al
0.670 0.830 0.500 Al
0.830 0.330 0.500 Al

7.
PaCu2AgO8 (GGA-PBE, relaxed); total energy = -70.4 eV for the cell shown; uncorrected formation energy = -0.850 eV/atom
1.0
-3.403 3.403 3.393
3.403 -3.403 3.393
3.403 3.403 -3.393
Pa Cu Ag O
1 2 1 8
direct
0.000 0.000 0.000 Pa
0.500 0.500 0.000 Cu
0.750 0.250 0.500 Cu
0.250 0.750 0.500 Ag
0.294 0.117 0.823 O
0.294 0.472 0.177 O
0.371 0.060 0.311 O
0.528 0.706 0.823 O
0.748 0.060 0.689 O
0.883 0.706 0.177 O
0.940 0.252 0.311 O
0.940 0.629 0.689 O

8.
KCu3Pt2 (GGA-PBE, relaxed); formation enthalpy at 0 K = -60.4 meV/atom; total energy = -51.7 eV for the cell shown
1.0
5.196 -4.096 0.000
5.196 4.096 0.000
0.000 0.000 5.422
K Cu Pt
2 6 4
direct
0.159 0.841 0.750 K
0.841 0.159 0.250 K
0.027 0.553 0.250 Cu
0.424 0.576 0.250 Cu
0.447 0.973 0.250 Cu
0.553 0.027 0.750 Cu
0.576 0.424 0.750 Cu
0.973 0.447 0.750 Cu
0.299 0.299 0.000 Pt
0.299 0.299 0.500 Pt
0.701 0.701 0.000 Pt
0.701 0.701 0.500 Pt

9.
Ba2TbThSb4 (GGA-PBE, relaxed); total energy = -40.2 eV for the cell shown; uncorrected formation energy = -0.981 eV/atom
1.0
8.036 0.000 0.000
0.000 4.671 0.000
-2.709 0.000 7.978
Ba Tb Th Sb
2 1 1 4
direct
0.000 0.000 0.000 Ba
0.500 0.500 0.000 Ba
0.000 0.500 0.500 Tb
0.500 0.000 0.500 Th
0.235 0.000 0.713 Sb
0.259 0.500 0.285 Sb
0.741 0.500 0.715 Sb
0.765 0.000 0.287 Sb

10.
HfNbIr2 (GGA-PBE, relaxed); formation enthalpy at 0 K = -669.0 meV/atom; total energy = -40.4 eV for the cell shown
1.0
2.990 0.000 0.000
0.000 2.990 0.000
0.000 0.000 7.525
Hf Nb Ir
1 1 2
direct
0.000 0.000 0.000 Hf
0.000 0.000 0.500 Nb
0.500 0.500 0.246 Ir
0.500 0.500 0.754 Ir

11.
BaTaRe4 (GGA-PBE, relaxed); formation enthalpy at 0 K = 767.2 meV/atom; total energy = -59.0 eV for the cell shown
1.0
0.000 3.840 3.840
3.840 0.000 3.840
3.840 3.840 0.000
Ba Ta Re
1 1 4
direct
0.000 0.000 0.000 Ba
0.250 0.250 0.250 Ta
0.128 0.624 0.624 Re
0.624 0.128 0.624 Re
0.624 0.624 0.128 Re
0.624 0.624 0.624 Re

Which formula does entry 1 have?
Li2CeSi2

Which value of total energy does entry 2 give?
-84.4 eV for the cell shown

The highest total energy belongs to which entry?
LaMg2SiRh

Look up the total energy of the second one.
-84.4 eV for the cell shown